[1]
Here is a geometry-optimized BaZrSiNi2 structure from the Alexandria database. Energies are from PBE-GGA.

abc: 4.694 4.694 5.705
angles: 90.00 90.00 90.00
Space group P4/mmm (No. 123)
Asymmetric unit:
Ba 0.000 0.000 0.000 [1 per cell]
Zr 0.000 0.000 0.500 [1 per cell]
Si 0.500 0.500 0.500 [1 per cell]
Ni 0.000 0.500 0.000 [2 per cell]

The calculation puts the uncorrected formation energy at 1.888 eV per atom.

[2]
Here is a geometry-optimized BaPH3 structure from the Alexandria database. Energies are from PBE-GGA.

abc: 3.996 3.996 3.996
angles: 90.00 90.00 90.00
Space group Pm-3m (No. 221)
Asymmetric unit:
Ba 0.000 0.000 0.000 [1 per cell]
P 0.500 0.500 0.500 [1 per cell]
H 0.000 0.500 0.500 [3 per cell]

As for the energy above the most stable polymorph in this dataset: 0.0 meV/atom.

[3]
Here is a geometry-optimized Sc3In2Cu structure from the Alexandria database. Energies are from PBE-GGA.

abc: 3.305 3.305 11.478
angles: 90.00 90.00 90.00
Space group P4/mmm (No. 123)
Asymmetric unit:
Sc 0.000 0.000 0.000 [1 per cell]
Sc 0.000 0.000 0.360 [2 per cell]
In 0.500 0.500 0.181 [2 per cell]
Cu 0.500 0.500 0.500 [1 per cell]

Its formation energy is -0.39 eV per atom.

[4]
Here is a geometry-optimized LaZrAs structure from the Alexandria database. Energies are from PBE-GGA.

abc: 3.705 3.705 11.064
angles: 90.00 90.00 90.00
Space group I4mm (No. 107)
Asymmetric unit:
La 0.000 0.000 0.000 [2 per cell]
Zr 0.000 0.000 0.709 [2 per cell]
As 0.000 0.000 0.291 [2 per cell]

Its formation energy is -0.68 eV per atom. As for the energy above the most stable polymorph in this dataset: 317.5 meV/atom.

[5]
Here is a geometry-optimized Sm3InBi structure from the Alexandria database. Energies are from PBE-GGA.

abc: 12.139 11.827 9.027
angles: 90.00 90.00 90.00
Space group Cmce (No. 64)
Asymmetric unit:
Sm 0.000 0.070 0.178 [8 per cell]
Sm 0.154 0.149 0.583 [16 per cell]
In 0.000 0.198 0.867 [8 per cell]
Bi 0.250 0.100 0.250 [8 per cell]

Its formation energy is -0.48 eV per atom.

[6]
Here is a geometry-optimized KYSb2 structure from the Alexandria database. Energies are from PBE-GGA.

abc: 3.382 3.382 11.827
angles: 90.00 90.00 90.00
Space group P4mm (No. 99)
Asymmetric unit:
K 0.000 0.000 0.000 [1 per cell]
Y 0.500 0.500 0.680 [1 per cell]
Sb 0.000 0.000 0.501 [1 per cell]
Sb 0.500 0.500 0.233 [1 per cell]

The calculation puts the uncorrected formation energy at -0.001 eV per atom. As for the energy above the most stable polymorph in this dataset: 655.8 meV/atom.

| no. | mass density (g cm⁻³) | E (eV/cell) | M_tot (μB/f.u.) |
| --- | --- | --- | --- |
| 1 | 4.94 | -18.02 | 0.00 |
| 2 | 4.46 | -17.24 | 0.00 |
| 3 | 5.67 | -30.93 | 0.15 |
| 4 | 6.67 | -40.33 | 0.00 |
| 5 | 7.94 | -185.39 | 0.00 |
| 6 | 4.56 | -15.81 | 0.00 |